Entry from the Alexandria database: crystalline AsHAuBr2 at its relaxed geometry (PBE-GGA).

## Properties
Uncorrected energy: -10.8 eV/cell
Symmetry: P4/mmm (123)
Total magnetic moment: 1.500 μB/f.u.

a = 5.5140 Å, b = 5.5140 Å, c = 4.8551 Å
α = 90.00°, β = 90.00°, γ = 90.00°
Last column: nearest neighbours and their distance in Å.
Fractional positions:
Br1 0.5000 0.0000 0.0000  2 Au 2.76
Au1 0.0000 0.0000 0.0000  2 As 2.43
Br2 0.0000 0.5000 0.0000  2 Au 2.76
As1 0.0000 0.0000 0.5000  2 Au 2.43
H1 0.5000 0.5000 0.5000  8 Br 3.67, 4 As 3.90


Entry from the Alexandria database: crystalline AsHAuBr2 at its relaxed geometry (PBE-GGA).

## Properties
Uncorrected energy: -11.9 eV/cell
Symmetry: P4/mmm (123)
Total magnetic moment: 0.000 μB/f.u.

a = 5.3126 Å, b = 5.3126 Å, c = 3.4630 Å
α = 90.00°, β = 90.00°, γ = 90.00°
Last column: nearest neighbours and their distance in Å.
Fractional positions:
Br1 0.5000 0.0000 0.0000  2 H 2.66
As1 0.0000 0.0000 0.5000  2 H 1.73
Au1 0.5000 0.5000 0.5000  8 Br 3.17, 2 Au 3.46
Br2 0.0000 0.5000 0.0000  2 H 2.66
H1 0.0000 0.0000 0.0000  2 As 1.73


Entry from the Alexandria database: crystalline HfAsAu2Br at its relaxed geometry (PBE-GGA).

## Properties
Symmetry: P4/mmm (123)
Uncorrected formation energy: 0.99 eV per atom
Total magnetic moment: 0.000 μB/f.u.

a = 5.0132 Å, b = 4.9557 Å, c = 5.0132 Å
α = 90.00°, β = 90.00°, γ = 90.00°
Last column: nearest neighbours and their distance in Å.
Fractional positions:
Au1 0.0000 0.0000 0.5000  2 Br 2.51
Br1 0.0000 0.0000 0.0000  2 Hf 2.48, 4 Au 2.51
Hf1 0.0000 0.5000 0.0000  2 Br 2.48
Au2 0.5000 0.0000 0.0000  2 Br 2.51
As1 0.5000 0.5000 0.5000  8 Au 3.52, 4 Hf 3.54


Entry from the Alexandria database: crystalline Hg4AsAuBr2 at its relaxed geometry (PBE-GGA).

## Properties
Symmetry: C2/c (15)
Uncorrected formation energy: -0.03 eV per atom
Total magnetic moment: 0.000 μB/f.u.

a = 8.4430 Å, b = 8.4430 Å, c = 8.4174 Å
α = 120.12°, β = 120.12°, γ = 87.83°
Last column: nearest neighbours and their distance in Å.
Fractional positions:
Br1 0.5000 0.0000 0.5000  6 Hg 3.03-3.22
Hg1 0.2437 0.2585 0.4648  2 As 2.83, 1 Au 2.86, 1 Br 3.03
Au1 0.0000 0.5000 0.5000  6 Hg 2.86-2.88
Hg2 0.2129 0.7344 0.9743  1 As 2.81, 2 Au 2.87-2.88, 1 Br 3.06
Br2 0.5000 0.0000 0.0000  6 Hg 3.03-3.22
Hg3 0.7563 0.7415 0.5352  2 As 2.83, 1 Au 2.86, 1 Br 3.03
As1 0.0000 0.0000 0.0000  6 Hg 2.81-2.83
Hg4 0.2415 0.2563 0.0352  2 As 2.83, 1 Au 2.86, 1 Br 3.03
Au2 0.0000 0.5000 0.0000  6 Hg 2.86-2.88
Hg5 0.7585 0.7437 0.9648  2 As 2.83, 1 Au 2.86, 1 Br 3.03
Hg6 0.7656 0.2871 0.5257  1 As 2.81, 2 Au 2.87-2.88, 1 Br 3.06
Br3 0.5000 0.5000 0.0000  6 Hg 3.06-3.27
Br4 0.0000 0.0000 0.5000  6 Hg 3.06-3.27
As2 0.5000 0.5000 0.5000  6 Hg 2.81-2.83
Hg7 0.7871 0.2656 0.0257  1 As 2.81, 2 Au 2.87-2.88, 1 Br 3.06
Hg8 0.2344 0.7129 0.4743  1 As 2.81, 2 Au 2.87-2.88, 1 Br 3.06


Entry from the Alexandria database: crystalline AsAuIBr2 at its relaxed geometry (PBE-GGA).

## Properties
Symmetry: P4/mmm (123)
Uncorrected formation energy: 0.38 eV per atom
Total magnetic moment: 0.000 μB/f.u.

a = 5.1437 Å, b = 5.1437 Å, c = 5.5056 Å
α = 90.00°, β = 90.00°, γ = 90.00°
Last column: nearest neighbours and their distance in Å.
Fractional positions:
Br1 0.0000 0.5000 0.0000  2 Au 2.57
Br2 0.5000 0.0000 0.0000  2 Au 2.57
Au1 0.0000 0.0000 0.0000  4 Br 2.57, 2 As 2.75
I1 0.5000 0.5000 0.5000  4 As 3.64, 8 Br 3.77
As1 0.0000 0.0000 0.5000  2 Au 2.75


Entry from the Alexandria database: crystalline AsAuI2Br at its relaxed geometry (PBE-GGA).

## Properties
Symmetry: P4/mmm (123)
Uncorrected formation energy: 0.30 eV per atom
Total magnetic moment: 0.943 μB/f.u.

a = 5.8092 Å, b = 4.8987 Å, c = 5.8092 Å
α = 90.00°, β = 90.00°, γ = 90.00°
Last column: nearest neighbours and their distance in Å.
Fractional positions:
As1 0.0000 0.0000 0.0000  2 Au 2.45
I1 0.5000 0.0000 0.0000  2 As 2.90
Br1 0.5000 0.5000 0.5000  8 I 3.80, 4 Au 4.11
Au1 0.0000 0.5000 0.0000  2 As 2.45
I2 0.0000 0.0000 0.5000  2 As 2.90


Ρ in g/cm3, matching the order above: 4.868; 7.351; 9.696; 9.526; 6.368; 6.083